CrIn3I6 (PBE, relaxed); energy relative to the elements, uncorrected = -407 meV per atom; total magnetic moment = 0.300 μB per atom; space-group type = No. 14
1.0
-3.505 6.637 -1.890
-6.422 -4.528 -3.990
-6.309 0.493 9.596
In I Cr
6 12 2
direct
0.454 0.091 0.237
0.000 0.000 0.500
0.500 0.500 0.000
0.046 0.591 0.263
0.546 0.909 0.763
0.954 0.409 0.737
0.652 0.231 0.569
0.848 0.731 0.931
0.152 0.269 0.069
0.870 0.947 0.227
0.630 0.447 0.273
0.130 0.053 0.773
0.203 0.339 0.462
0.370 0.553 0.727
0.297 0.839 0.038
0.797 0.661 0.538
0.703 0.161 0.962
0.348 0.769 0.431
0.500 0.500 0.500
0.000 0.000 0.000